Ho3GaTe2 | Alexandria via LeMat-Bulk | PBE-GGA | optimized geometry; density of states at the Fermi level = 1.1 states/eV/f.u.; relative energy among the computed polymorphs = 0.110 eV/atom; raw total energy = -4.813 eV per atom
1.0
6.012 0.000 0.000
0.000 14.115 0.000
0.000 0.000 4.502
Ho Ga Te
6 2 4
Direct
0.000 0.000 0.000
0.000 0.374 0.500
0.000 0.626 0.500
0.500 0.126 0.500
0.500 0.500 0.000
0.500 0.874 0.500
0.000 0.500 0.000
0.500 0.000 0.000
0.000 0.153 0.500
0.000 0.847 0.500
0.500 0.347 0.500
0.500 0.653 0.500